CaP6Pt | the Alexandria database | GGA-PBE | optimized geometry; space-group type = R-3, No. 148; ΔE_f = -0.098 eV per atom; crystal system = trigonal; raw total energy = -5.1610 eV/atom; magnetization = 0.00 μB/f.u.
1.0
2.8384 1.6388 6.1662
-2.8384 1.6388 6.1662
0.0000 -3.2776 6.1662
Ca P Pt
1 6 1
Direct
0.0000 0.0000 0.0000
0.0140 0.5129 0.8245
0.1755 0.9860 0.4871
0.4871 0.1755 0.9860
0.5129 0.8245 0.0140
0.8245 0.0140 0.5129
0.9860 0.4871 0.1755
0.5000 0.5000 0.5000